# 1
Below is Ho2Cl after structural relaxation, with properties calculated at the PBE level.

It has space group C2/m (No. 12), with a = 6.150 Å, b = 3.552 Å, c = 7.437 Å, α = 90.00°, β = 106.28° and γ = 90.00°. The distinct sites, in fractional coordinates, are Ho at (0.231, 0.000, 0.190) and Cl at (0.000, 0.000, 0.500).

The value obtained for the total energy is -4.538 eV/atom.


# 2
Below is HoCl3 after structural relaxation, with properties calculated at the PBE level.

It has space group Pnma (No. 62), with a = 6.817 Å, b = 9.249 Å, c = 6.075 Å, α = 90.00°, β = 90.00° and γ = 90.00°. The distinct sites, in fractional coordinates, are Ho at (0.124, 0.250, 0.056), Cl at (0.042, 0.750, 0.337) and Cl at (0.165, 0.573, 0.823).

The value obtained for the total energy is -4.726 eV/atom.


# 3
Below is Ho4IN2Cl after structural relaxation, with properties calculated at the PBE level.

It has space group P-6m2 (No. 187), with a = 3.5842 Å, b = 3.5842 Å, c = 13.8850 Å, α = 90.00°, β = 90.00° and γ = 120.00°. The distinct sites, in fractional coordinates, are Ho at (0.0000, 0.0000, 0.1512), Ho at (0.3333, 0.6667, 0.3283), I at (0.0000, 0.0000, 0.5000), N at (0.6667, 0.3333, 0.2318) and Cl at (0.3333, 0.6667, 0.0000).

The value obtained for the total energy is -6.181 eV/atom.


# 4
Below is Ho4INCl4 after structural relaxation, with properties calculated at the PBE level.

It has space group C2/m (No. 12), with a = 16.677 Å, b = 3.706 Å, c = 8.313 Å, α = 90.00°, β = 104.77° and γ = 90.00°. The distinct sites, in fractional coordinates, are Ho at (0.000, 0.000, 0.190), Ho at (0.143, 0.500, 0.074), I at (0.000, 0.500, 0.500), N at (0.000, 0.500, 0.000), Cl at (0.167, 0.000, 0.318) and Cl at (0.170, 0.000, 0.850).

The value obtained for the total energy is -5.273 eV/atom.


# 5
Below is HoIn3Cl after structural relaxation, with properties calculated at the PBE level.

It has space group Pm-3m (No. 221), with a = 5.378 Å, b = 5.378 Å, c = 5.378 Å, α = 90.00°, β = 90.00° and γ = 90.00°. The distinct sites, in fractional coordinates, are Ho at (0.000, 0.000, 0.000), In at (0.000, 0.500, 0.500) and Cl at (0.500, 0.500, 0.500).

The value obtained for the total energy is -2.831 eV/atom.


# 6
Below is NaHoIn2Cl6 after structural relaxation, with properties calculated at the PBE level.

It has space group I4/m (No. 87), with a = 7.298 Å, b = 7.298 Å, c = 10.772 Å, α = 90.00°, β = 90.00° and γ = 90.00°. The distinct sites, in fractional coordinates, are Na at (0.000, 0.000, 0.000), Ho at (0.000, 0.000, 0.500), In at (0.000, 0.500, 0.250), Cl at (0.000, 0.000, 0.257) and Cl at (0.172, 0.315, 0.500).

The value obtained for the total energy is -3.853 eV/atom.


# 7
Below is Rb2HoInCl6 after structural relaxation, with properties calculated at the PBE level.

It has space group I4/m (No. 87), with a = 7.695 Å, b = 7.695 Å, c = 11.448 Å, α = 90.00°, β = 90.00° and γ = 90.00°. The distinct sites, in fractional coordinates, are Rb at (0.000, 0.500, 0.250), Ho at (0.000, 0.000, 0.000), In at (0.000, 0.000, 0.500), Cl at (0.000, 0.000, 0.231) and Cl at (0.144, 0.310, 0.000).

The value obtained for the total energy is -3.925 eV/atom.


# 8
Below is HoLuCl2O2 after structural relaxation, with properties calculated at the PBE level.

It has space group C2/m (No. 12), with a = 17.649 Å, b = 3.876 Å, c = 7.392 Å, α = 90.00°, β = 94.85° and γ = 90.00°. The distinct sites, in fractional coordinates, are Ho at (0.186, 0.000, 0.110), Lu at (0.188, 0.000, 0.613), Cl at (0.078, 0.000, 0.348), Cl at (0.103, 0.500, 0.850), O at (0.244, 0.500, 0.130) and O at (0.244, 0.500, 0.618).

The value obtained for the total energy is -6.857 eV/atom.


# 9
Below is HoLuS2Cl2 after structural relaxation, with properties calculated at the PBE level.

It has space group Pmm2 (No. 25), with a = 3.922 Å, b = 5.295 Å, c = 8.294 Å, α = 90.00°, β = 90.00° and γ = 90.00°. The distinct sites, in fractional coordinates, are Ho at (0.000, 0.000, 0.000), Lu at (0.500, 0.500, 0.725), S at (0.000, 0.500, 0.946), S at (0.500, 0.000, 0.771), Cl at (0.000, 0.500, 0.517) and Cl at (0.500, 0.000, 0.215).

The value obtained for the total energy is -5.688 eV/atom.


# 10
Below is Ho4NCl5 after structural relaxation, with properties calculated at the PBE level.

It has space group C2/m (No. 12), with a = 16.677 Å, b = 3.618 Å, c = 7.672 Å, α = 90.00°, β = 103.79° and γ = 90.00°. The distinct sites, in fractional coordinates, are Ho at (0.001, 0.000, 0.293), Ho at (0.143, 0.500, 0.578), N at (0.000, 0.500, 0.500), Cl at (0.000, 0.500, 0.000), Cl at (0.164, 0.000, 0.845) and Cl at (0.171, 0.000, 0.331).

The value obtained for the total energy is -5.434 eV/atom.


# 11
Below is Nd2Ho2NCl5 after structural relaxation, with properties calculated at the PBE level.

It has space group C2/m (No. 12), with a = 17.054 Å, b = 3.729 Å, c = 8.052 Å, α = 90.00°, β = 103.64° and γ = 90.00°. The distinct sites, in fractional coordinates, are Nd at (0.001, 0.000, 0.290), Ho at (0.140, 0.500, 0.575), N at (0.000, 0.500, 0.500), Cl at (0.000, 0.500, 0.000), Cl at (0.169, 0.000, 0.825) and Cl at (0.175, 0.000, 0.353).

The value obtained for the total energy is -5.490 eV/atom.


# 12
Below is SmHoNCl3 after structural relaxation, with properties calculated at the PBE level.

It has space group C2/m (No. 12), with a = 16.184 Å, b = 3.900 Å, c = 10.738 Å, α = 90.00°, β = 120.39° and γ = 90.00°. The distinct sites, in fractional coordinates, are Sm at (0.138, 0.000, 0.292), Ho at (0.085, 0.500, 0.955), N at (0.074, 0.500, 0.153), Cl at (0.052, 0.000, 0.755), Cl at (0.163, 0.500, 0.513) and Cl at (0.220, 0.000, 0.109).

The value obtained for the total energy is -5.983 eV/atom.